1.
First-principles (PBE) data for LuInAgPt after structural relaxation, as listed in Alexandria.

Output
The calculation puts the uncorrected energy at -75.30 eV for the cell shown. As for the space group: F-43m (216). As for the density of states at the Fermi level: 8.98 states/eV per cell. The magnetic moment comes out at 0.0 μB per cell.

abc: 6.8086 6.8086 6.8086
angles: 90.00 90.00 90.00
Sites, in units of the cell vectors:
1 Lu 0.0000 0.0000 0.0000
2 Lu 0.0000 0.5000 0.5000
3 Lu 0.5000 0.0000 0.5000
4 Lu 0.5000 0.5000 0.0000
5 In 0.0000 0.0000 0.5000
6 In 0.0000 0.5000 0.0000
7 In 0.5000 0.0000 0.0000
8 In 0.5000 0.5000 0.5000
9 Ag 0.2500 0.2500 0.2500
10 Ag 0.2500 0.7500 0.7500
11 Ag 0.7500 0.2500 0.7500
12 Ag 0.7500 0.7500 0.2500
13 Pt 0.2500 0.2500 0.7500
14 Pt 0.2500 0.7500 0.2500
15 Pt 0.7500 0.2500 0.2500
16 Pt 0.7500 0.7500 0.7500

2.
First-principles (PBE) data for LaPr4Dy3S8 after structural relaxation, as listed in Alexandria.

Output
The calculation puts the uncorrected energy at -103.26 eV for the cell shown. As for the space group: R-3m (166). As for the density of states at the Fermi level: 7.36 states/eV per cell. The magnetic moment comes out at 0.0 μB per cell.

abc: 8.1146 8.1146 8.1146
angles: 59.43 59.43 59.43
Sites, in units of the cell vectors:
1 La 0.0000 0.0000 0.0000
2 Pr 0.0000 0.0000 0.5000
3 Pr 0.0000 0.5000 0.0000
4 Pr 0.5000 0.0000 0.0000
5 Pr 0.5000 0.5000 0.5000
6 Dy 0.0000 0.5000 0.5000
7 Dy 0.5000 0.0000 0.5000
8 Dy 0.5000 0.5000 0.0000
9 S 0.2503 0.2503 0.7361
10 S 0.2503 0.7361 0.2503
11 S 0.2565 0.2565 0.2565
12 S 0.2639 0.7497 0.7497
13 S 0.7361 0.2503 0.2503
14 S 0.7435 0.7435 0.7435
15 S 0.7497 0.2639 0.7497
16 S 0.7497 0.7497 0.2639

3.
First-principles (PBE) data for Nd7Ho6Er16 after structural relaxation, as listed in Alexandria.

Output
The calculation puts the uncorrected energy at -128.29 eV for the cell shown. As for the space group: Fm-3m (225). As for the density of states at the Fermi level: 50.09 states/eV per cell. The magnetic moment comes out at 0.0 μB per cell.

abc: 11.0027 11.0027 11.0027
angles: 60.00 60.00 60.00
Sites, in units of the cell vectors:
1 Nd 0.0000 0.0000 0.0000
2 Nd 0.0000 0.0000 0.5000
3 Nd 0.0000 0.5000 0.0000
4 Nd 0.0000 0.5000 0.5000
5 Nd 0.5000 0.0000 0.0000
6 Nd 0.5000 0.0000 0.5000
7 Nd 0.5000 0.5000 0.0000
8 Ho 0.2252 0.2252 0.7748
9 Ho 0.2252 0.7748 0.2252
10 Ho 0.2252 0.7748 0.7748
11 Ho 0.7748 0.2252 0.2252
12 Ho 0.7748 0.2252 0.7748
13 Ho 0.7748 0.7748 0.2252
14 Er 0.1497 0.1497 0.1497
15 Er 0.1497 0.1497 0.5510
16 Er 0.1497 0.5510 0.1497
17 Er 0.1611 0.6130 0.6130
18 Er 0.3870 0.3870 0.3870
19 Er 0.3870 0.3870 0.8389
20 Er 0.3870 0.8389 0.3870
21 Er 0.4490 0.8503 0.8503
22 Er 0.5510 0.1497 0.1497
23 Er 0.6130 0.1611 0.6130
24 Er 0.6130 0.6130 0.1611
25 Er 0.6130 0.6130 0.6130
26 Er 0.8389 0.3870 0.3870
27 Er 0.8503 0.4490 0.8503
28 Er 0.8503 0.8503 0.4490
29 Er 0.8503 0.8503 0.8503

4.
First-principles (PBE) data for CaPmAlCd after structural relaxation, as listed in Alexandria.

Output
The calculation puts the uncorrected energy at -50.90 eV for the cell shown. As for the space group: F-43m (216). As for the density of states at the Fermi level: 6.41 states/eV per cell. The magnetic moment comes out at 0.0 μB per cell.

abc: 7.5424 7.5424 7.5424
angles: 90.00 90.00 90.00
Sites, in units of the cell vectors:
1 Ca 0.0000 0.0000 0.0000
2 Ca 0.0000 0.5000 0.5000
3 Ca 0.5000 0.0000 0.5000
4 Ca 0.5000 0.5000 0.0000
5 Pm 0.0000 0.0000 0.5000
6 Pm 0.0000 0.5000 0.0000
7 Pm 0.5000 0.0000 0.0000
8 Pm 0.5000 0.5000 0.5000
9 Al 0.2500 0.2500 0.7500
10 Al 0.2500 0.7500 0.2500
11 Al 0.7500 0.2500 0.2500
12 Al 0.7500 0.7500 0.7500
13 Cd 0.2500 0.2500 0.2500
14 Cd 0.2500 0.7500 0.7500
15 Cd 0.7500 0.2500 0.7500
16 Cd 0.7500 0.7500 0.2500

5.
First-principles (PBE) data for AcPmNd4Se8 after structural relaxation, as listed in Alexandria.

Output
The calculation puts the uncorrected energy at -80.16 eV for the cell shown. As for the space group: R3m (160). As for the density of states at the Fermi level: 9.34 states/eV per cell. The magnetic moment comes out at 0.0 μB per cell.

abc: 8.7672 8.7672 8.7672
angles: 60.10 60.10 60.10
Sites, in units of the cell vectors:
1 Ac 0.0000 0.0000 0.0000
2 Pm 0.6230 0.6230 0.6230
3 Nd 0.1314 0.6227 0.6227
4 Nd 0.2494 0.2494 0.2494
5 Nd 0.6227 0.1314 0.6227
6 Nd 0.6227 0.6227 0.1314
7 Se 0.3812 0.3812 0.3812
8 Se 0.3832 0.3832 0.8539
9 Se 0.3832 0.8539 0.3832
10 Se 0.4123 0.8616 0.8616
11 Se 0.8539 0.3832 0.3832
12 Se 0.8616 0.4123 0.8616
13 Se 0.8616 0.8616 0.4123
14 Se 0.8626 0.8626 0.8626

6.
First-principles (PBE) data for Co2TcPb after structural relaxation, as listed in Alexandria.

Output
The calculation puts the uncorrected energy at -26.18 eV for the cell shown. As for the space group: P4mm (99). As for the density of states at the Fermi level: 5.73 states/eV per cell. The magnetic moment comes out at 2.8 μB per cell.

abc: 3.0220 3.0220 6.7350
angles: 90.00 90.00 90.00
Sites, in units of the cell vectors:
1 Co 0.0000 0.0000 0.0000
2 Co 0.5000 0.5000 0.1880
3 Tc 0.5000 0.5000 0.7977
4 Pb 0.0000 0.0000 0.4753

7.
First-principles (PBE) data for ZrBe2Co2 after structural relaxation, as listed in Alexandria.

Output
The calculation puts the uncorrected energy at -61.92 eV for the cell shown. As for the space group: P4/mbm (127). As for the density of states at the Fermi level: 5.09 states/eV per cell. The magnetic moment comes out at 0.0 μB per cell.

abc: 6.5841 6.5841 2.6868
angles: 90.00 90.00 90.00
Sites, in units of the cell vectors:
1 Zr 0.0000 0.0000 0.0000
2 Zr 0.5000 0.5000 0.0000
3 Be 0.1378 0.3622 0.5000
4 Be 0.3622 0.8622 0.5000
5 Be 0.6378 0.1378 0.5000
6 Be 0.8622 0.6378 0.5000
7 Co 0.1470 0.6470 0.0000
8 Co 0.3530 0.1470 0.0000
9 Co 0.6470 0.8530 0.0000
10 Co 0.8530 0.3530 0.0000

8.
First-principles (PBE) data for LiCaPu2Te4 after structural relaxation, as listed in Alexandria.

Output
The calculation puts the uncorrected energy at -54.67 eV for the cell shown. As for the space group: P2/m (10). As for the density of states at the Fermi level: 25.04 states/eV per cell. The magnetic moment comes out at 11.0 μB per cell.

abc: 7.6875 4.4538 7.6886
angles: 90.00 109.43 90.00
Sites, in units of the cell vectors:
1 Li 0.0000 0.0000 0.0000
2 Ca 0.5000 0.5000 0.0000
3 Pu 0.0000 0.5000 0.5000
4 Pu 0.5000 0.0000 0.5000
5 Te 0.2455 0.0000 0.7512
6 Te 0.2456 0.5000 0.2476
7 Te 0.7545 0.0000 0.2488
8 Te 0.7544 0.5000 0.7524